Material: Cs2CuPbI5
Method: DFT, GGA-PBE
State: relaxed

```
Cs2CuPbI5
1.0
4.687 0.000 0.000
-2.344 11.408 0.000
0.000 0.000 16.021
Cs Cu Pb I
4 2 2 10
Direct
0.876 0.753 0.827 Cs
0.124 0.248 0.703 Cs
0.124 0.247 0.327 Cs
0.876 0.752 0.203 Cs
0.550 0.099 0.934 Cu
0.450 0.901 0.434 Cu
0.795 0.589 0.516 Pb
0.205 0.411 0.016 Pb
0.345 0.690 0.015 I
0.702 0.404 0.873 I
0.506 0.011 0.788 I
0.297 0.594 0.659 I
0.942 0.883 0.509 I
0.655 0.310 0.515 I
0.298 0.596 0.373 I
0.494 0.989 0.288 I
0.703 0.406 0.159 I
0.058 0.117 0.009 I
```

Properties
- SG = Cmc2_1

Material: Cs3Cu2PbI8
Method: DFT, GGA-PBE
State: relaxed

```
Cs3Cu2PbI8
1.0
-3.981 6.371 -4.059
-3.921 -4.112 6.374
4.050 6.991 7.001
Cs Cu Pb I
3 2 1 8
Direct
0.333 0.667 0.626 Cs
0.667 0.333 0.374 Cs
0.000 0.000 0.000 Cs
0.333 0.667 0.214 Cu
0.667 0.333 0.786 Cu
0.000 0.000 0.500 Pb
0.333 0.667 0.981 I
0.667 0.333 0.019 I
0.170 0.830 0.315 I
0.830 0.170 0.685 I
0.170 0.339 0.315 I
0.830 0.661 0.685 I
0.661 0.830 0.315 I
0.339 0.170 0.685 I
```

Properties
- SG = P-3m1

Material: CsCu2PdI8
Method: DFT, GGA-PBE
State: relaxed

```
CsCu2PdI8
1.0
6.958 -0.406 -0.190
2.850 6.361 -0.190
0.197 0.120 11.396
Cs Cu Pd I
1 2 1 8
Direct
0.000 0.000 0.500 Cs
0.643 0.643 0.187 Cu
0.357 0.357 0.813 Cu
0.000 0.000 0.000 Pd
0.759 0.229 0.823 I
0.761 0.761 0.000 I
0.667 0.667 0.408 I
0.333 0.333 0.592 I
0.239 0.239 0.000 I
0.229 0.759 0.823 I
0.771 0.241 0.177 I
0.241 0.771 0.177 I
```

Properties
- SG = C2/m

Material: Cs2PmCuI6
Method: DFT, GGA-PBE
State: relaxed

```
Cs2PmCuI6
1.0
8.523 0.624 -0.003
0.639 8.175 0.003
4.576 4.399 6.661
Cs Pm Cu I
2 1 1 6
Direct
0.743 0.243 0.513 Cs
0.257 0.757 0.487 Cs
0.000 0.000 0.000 Pm
0.500 0.500 0.000 Cu
0.233 0.234 0.534 I
0.818 0.705 0.999 I
0.341 0.781 0.000 I
0.659 0.219 0.000 I
0.182 0.295 0.001 I
0.767 0.766 0.466 I
```

Properties
- SG = P-1

no.,raw formation energy (eV/atom),total magnetization (μB per atom)
1,-0.932,0.00
2,-0.824,0.00
3,-0.344,0.00
4,-1.183,0.00